[1]
First-principles (PBE-GGA) data for VCo6Re after structural relaxation, as listed in the Alexandria database.

Geometry as extended XYZ:
```
8
Lattice="-2.862 2.994 -2.311 -1.546 -3.275 -3.061 -3.828 -1.111 2.569" Properties=species:S:1:pos:R:3 pbc="T T T"
V -4.118 -0.696 -1.401
Co -1.875 -1.427 -1.572
Co -2.715 -0.630 0.502
Co -6.362 0.035 -1.231
Co -5.877 -2.274 -1.508
Co -5.521 -0.763 -3.305
Co -2.359 0.882 -1.295
Re 0.000 0.000 0.000
```

E = -7.38 eV per atom
DFT formation energy = 0.65 eV per atom
Space group = R-3m (166)
Energy above the most stable polymorph in this dataset = 0.755 eV per atom



[2]
First-principles (PBE-GGA) data for V4Co2Re after structural relaxation, as listed in the Alexandria database.

Geometry as extended XYZ:
```
7
Lattice="-0.627 2.228 3.897 -3.685 -2.502 0.837 1.147 -4.071 5.148" Properties=species:S:1:pos:R:3 pbc="T T T"
Re 0.000 0.000 0.000
Co -1.465 -0.961 2.949
Co -1.701 -3.385 6.933
V -0.227 -2.435 3.991
V -2.938 -1.911 5.891
V -1.842 -1.251 0.419
V -0.314 1.114 1.948
```

E = -7.92 eV per atom
DFT formation energy = 1.10 eV per atom
Space group = I4/mmm (139)



[3]
First-principles (PBE-GGA) data for VCoRe3 after structural relaxation, as listed in the Alexandria database.

Geometry as extended XYZ:
```
5
Lattice="4.385 0.000 0.000 0.000 4.385 0.000 0.000 0.000 4.385" Properties=species:S:1:pos:R:3 pbc="T T T"
Re 0.000 2.193 0.000
Re 0.000 0.000 2.193
Re 2.193 0.000 0.000
Co 0.000 0.000 0.000
V 2.193 2.193 2.193
```

E = -9.16 eV per atom
DFT formation energy = 1.56 eV per atom
Space group = Pm-3m (221)
Energy above the most stable polymorph in this dataset = 0.000 eV per atom



[4]
First-principles (PBE-GGA) data for VCoRe2 after structural relaxation, as listed in the Alexandria database.

Geometry as extended XYZ:
```
4
Lattice="3.759 0.000 0.000 0.000 3.785 0.000 0.000 0.000 3.785" Properties=species:S:1:pos:R:3 pbc="T T T"
Re 0.000 0.000 1.892
Re 0.000 1.892 0.000
Co 1.880 0.000 0.000
V 1.880 1.892 1.892
```

E = -10.31 eV per atom
DFT formation energy = -0.03 eV per atom
Space group = P4/mmm (123)
Energy above the most stable polymorph in this dataset = 0.000 eV per atom



[5]
First-principles (PBE-GGA) data for YVCoRe2 after structural relaxation, as listed in the Alexandria database.

Geometry as extended XYZ:
```
5
Lattice="-0.439 -0.935 -4.691 4.671 -1.100 -0.218 -0.927 -4.118 0.907" Properties=species:S:1:pos:R:3 pbc="T T T"
Y 0.000 0.000 0.000
Re 2.335 -0.550 -0.109
Re -0.219 -0.467 -2.345
Co -0.464 -2.059 0.454
V 1.652 -3.076 -2.001
```

E = -6.76 eV per atom
DFT formation energy = 2.76 eV per atom
Space group = P4/mmm (123)



[6]
First-principles (PBE-GGA) data for ZrVCoRe after structural relaxation, as listed in the Alexandria database.

Geometry as extended XYZ:
```
4
Lattice="-1.447 3.926 1.403 -0.108 0.897 4.320 2.835 2.911 1.721" Properties=species:S:1:pos:R:3 pbc="T T T"
Re 0.000 0.000 0.000
Co 0.640 3.866 3.722
Zr 0.320 1.933 1.861
V 0.960 5.800 5.583
```

E = -9.43 eV per atom
DFT formation energy = -0.12 eV per atom
Space group = F-43m (216)



Question: Among the records above, which one has the lowest E?
Answer: VCoRe2